Entry 1:
Below is crystalline TmAuSO at its relaxed geometry, with properties calculated at the GGA-PBE level.

a b c (Å): 5.5387 5.5126 9.0552
angles (deg): 90.00 90.00 90.00
Last column: nearest neighbours and their distance in Å.
Fractional positions:
Au  0.9750  0.2500  0.5000  2 S 2.43
Au  0.4750  0.2500  0.5000  2 S 2.43
Au  0.5250  0.7500  0.5000  2 S 2.43
Au  0.0250  0.7500  0.5000  2 S 2.43
O  0.2507  0.2500  0.0000  4 Tm 2.23
O  0.7507  0.2500  0.0000  4 Tm 2.23
O  0.2493  0.7500  0.0000  4 Tm 2.23
O  0.7493  0.7500  0.0000  4 Tm 2.23
S  0.5000  0.0000  0.2797  2 Au 2.43
S  0.0000  0.5000  0.2797  2 Au 2.43
S  0.0000  0.0000  0.7204  2 Au 2.43
S  0.5000  0.5000  0.7204  2 Au 2.43
Tm  0.0000  0.0000  0.1183  4 O 2.23
Tm  0.5000  0.5000  0.1183  4 O 2.23
Tm  0.5000  0.0000  0.8818  4 O 2.23
Tm  0.0000  0.5000  0.8818  4 O 2.23

## Properties
As for the density: 9.9 Mg/m³. The symmetry is No. 54. The electronic total energy is -6.130 eV per atom.

***

Entry 2:
Below is crystalline GdSnAu at its relaxed geometry, with properties calculated at the GGA-PBE level.

a b c (Å): 4.7858 4.7858 4.7858
angles (deg): 120.00 90.00 120.00
Last column: nearest neighbours and their distance in Å.
Fractional positions:
Au  0.7500  0.5000  0.2500  4 Gd 2.93, 4 Sn 2.93
Gd  0.5000  0.0000  0.5000  4 Au 2.93
Sn  0.0000  0.0000  0.0000  4 Au 2.93

## Properties
As for the density: 10.1 Mg/m³. The symmetry is No. 216. The electronic total energy is -4.842 eV per atom.

***

Entry 3:
Below is crystalline RbPmSO at its relaxed geometry, with properties calculated at the GGA-PBE level.

a b c (Å): 7.8595 7.5978 6.7141
angles (deg): 90.00 104.16 90.00
Last column: nearest neighbours and their distance in Å.
Fractional positions:
O  0.6041  0.3532  0.1203  3 Pm 2.32-2.35
O  0.3959  0.8532  0.3797  3 Pm 2.32-2.35
O  0.6041  0.1468  0.6203  3 Pm 2.32-2.35
O  0.3959  0.6468  0.8797  3 Pm 2.32-2.35
Pm  0.5269  0.6276  0.2291  3 O 2.32-2.35
Pm  0.4731  0.1276  0.2709  3 O 2.32-2.35
Pm  0.5269  0.8724  0.7291  3 O 2.32-2.35
Pm  0.4731  0.3724  0.7709  3 O 2.32-2.35
Rb  0.0798  0.7420  0.0064  2 O 2.91-3.18
Rb  0.9202  0.2420  0.4936  2 O 2.91-3.18
Rb  0.0798  0.7580  0.5064  2 O 2.91-3.18
Rb  0.9202  0.2580  0.9936  2 O 2.91-3.18
S  0.7443  0.9103  0.1512  3 Pm 2.87-2.96
S  0.2557  0.4103  0.3488  3 Pm 2.87-2.96
S  0.7443  0.5897  0.6512  3 Pm 2.87-2.96
S  0.2557  0.0897  0.8488  3 Pm 2.87-2.96

## Properties
As for the density: 4.8 Mg/m³. The symmetry is No. 14. The electronic total energy is -5.918 eV per atom.

***

Entry 4:
Below is crystalline HoTmAl3Si2 at its relaxed geometry, with properties calculated at the GGA-PBE level.

a b c (Å): 5.4328 5.4328 6.5785
angles (deg): 99.98 99.98 43.48
Last column: nearest neighbours and their distance in Å.
Fractional positions:
Al  0.6954  0.6954  0.3663  2 Si 2.60, 2 Al 2.76
Al  0.9996  0.9996  0.4993  2 Si 2.70-2.72, 2 Tm 3.00, 2 Ho 3.01
Al  0.3050  0.3050  0.6326  2 Si 2.60, 2 Al 2.76
Ho  0.6195  0.6195  0.8229  5 Si 2.86-2.99, 5 Al 3.01-3.19
Si  0.0935  0.0935  0.1406  1 Si 2.38, 2 Al 2.60
Si  0.9065  0.9065  0.8610  1 Si 2.38, 2 Al 2.60
Tm  0.3806  0.3806  0.1774  5 Si 2.86-2.99, 5 Al 3.00-3.19

## Properties
As for the density: 6.0 Mg/m³. The symmetry is No. 8. The electronic total energy is -4.984 eV per atom.

***

Entry 5:
Below is crystalline LaIrNO at its relaxed geometry, with properties calculated at the GGA-PBE level.

a b c (Å): 4.6314 4.7305 6.8462
angles (deg): 90.00 90.00 90.00
Last column: nearest neighbours and their distance in Å.
Fractional positions:
Ir  0.0000  0.4742  0.4203  2 N 1.89-1.90
Ir  0.0000  0.9742  0.5797  2 N 1.89-1.90
La  0.5000  0.9718  0.2071  3 O 2.27-2.49, 2 N 2.50
La  0.5000  0.4718  0.7929  3 O 2.27-2.49, 2 N 2.50
N  0.0000  0.8480  0.3171  2 Ir 1.89-1.90
N  0.0000  0.3480  0.6829  2 Ir 1.89-1.90
O  0.5000  0.4600  0.1238  3 La 2.27-2.49
O  0.5000  0.9600  0.8762  3 La 2.27-2.49

## Properties
As for the density: 8.0 Mg/m³. The symmetry is No. 26. The electronic total energy is -7.862 eV per atom.

***

Entry 6:
Below is crystalline GdRePd at its relaxed geometry, with properties calculated at the GGA-PBE level.

a b c (Å): 4.5573 4.5573 4.5573
angles (deg): 60.00 60.00 60.00
Last column: nearest neighbours and their distance in Å.
Fractional positions:
Gd  0.5000  0.5000  0.5000  4 Pd 2.79
Pd  0.2500  0.2500  0.2500  4 Gd 2.79, 4 Re 2.79
Re  0.0000  0.0000  0.0000  4 Pd 2.79

## Properties
As for the density: 11.2 Mg/m³. The symmetry is No. 216. The value obtained for the formation energy from the elements is 0.587 eV/atom.

***

Entry 7:
Below is crystalline LiLuAg at its relaxed geometry, with properties calculated at the GGA-PBE level.

a b c (Å): 4.6860 4.6860 4.6860
angles (deg): 60.00 60.00 60.00
Last column: nearest neighbours and their distance in Å.
Fractional positions:
Ag  0.0000  0.0000  0.0000  4 Li 2.87, 4 Lu 2.87
Li  0.2500  0.2500  0.2500  4 Ag 2.87
Lu  0.7500  0.7500  0.7500  4 Ag 2.87

## Properties
As for the density: 6.6 Mg/m³. The symmetry is No. 216. The electronic total energy is -3.063 eV per atom.

***

Entry 8:
Below is crystalline Pm2PrNi9 at its relaxed geometry, with properties calculated at the GGA-PBE level.

a b c (Å): 8.7186 8.7186 8.7186
angles (deg): 33.56 33.56 33.56
Last column: nearest neighbours and their distance in Å.
Fractional positions:
Ni  0.5812  0.5812  0.0821  7 Ni 2.47-2.55
Ni  0.3327  0.3327  0.3327  6 Ni 2.47-2.49
Ni  0.9179  0.4188  0.4188  7 Ni 2.47-2.55
Ni  0.4188  0.9179  0.4188  7 Ni 2.47-2.55
Ni  0.5000  0.5000  0.5000  6 Ni 2.55
Ni  0.5812  0.0821  0.5812  7 Ni 2.47-2.55
Ni  0.0821  0.5812  0.5812  7 Ni 2.47-2.55
Ni  0.6673  0.6673  0.6673  6 Ni 2.47-2.49
Ni  0.4188  0.4188  0.9179  7 Ni 2.47-2.55
Pm  0.1391  0.1391  0.1391  12 Ni 2.89-3.14, 3 Pm 3.21
Pm  0.8609  0.8609  0.8609  12 Ni 2.89-3.14, 3 Pm 3.21
Pr  0.0000  0.0000  0.0000  18 Ni 2.91-3.22

## Properties
As for the density: 8.8 Mg/m³. The symmetry is No. 166. The value obtained for the formation energy from the elements is -0.328 eV/atom.

***

Entry 9:
Below is crystalline ZrTcB4 at its relaxed geometry, with properties calculated at the GGA-PBE level.

a b c (Å): 5.8767 11.3429 3.4942
angles (deg): 90.00 90.00 90.00
Last column: nearest neighbours and their distance in Å.
Fractional positions:
B  0.3675  0.0302  0.5000  3 B 1.70-1.83
B  0.8849  0.0483  0.5000  3 B 1.73-1.75
B  0.2945  0.1871  0.5000  3 B 1.72-1.86
B  0.9776  0.1947  0.5000  3 B 1.72-1.86
B  0.4776  0.3053  0.5000  3 B 1.72-1.86
B  0.7945  0.3129  0.5000  3 B 1.72-1.86
B  0.3849  0.4517  0.5000  3 B 1.73-1.75
B  0.8675  0.4698  0.5000  3 B 1.70-1.83
B  0.1325  0.5302  0.5000  3 B 1.70-1.83
B  0.6151  0.5483  0.5000  3 B 1.73-1.75
B  0.2055  0.6871  0.5000  3 B 1.72-1.86
B  0.5224  0.6947  0.5000  3 B 1.72-1.86
B  0.0224  0.8053  0.5000  3 B 1.72-1.86
B  0.7055  0.8129  0.5000  3 B 1.72-1.86
B  0.1151  0.9517  0.5000  3 B 1.73-1.75
B  0.6325  0.9698  0.5000  3 B 1.70-1.83
Tc  0.1391  0.0927  0.0000  10 B 2.24-2.37
Tc  0.6391  0.4073  0.0000  10 B 2.24-2.37
Tc  0.3609  0.5927  0.0000  10 B 2.24-2.37
Tc  0.8609  0.9073  0.0000  10 B 2.24-2.37
Zr  0.6292  0.1496  0.0000  14 B 2.57-2.74
Zr  0.1292  0.3504  0.0000  14 B 2.57-2.74
Zr  0.8708  0.6496  0.0000  14 B 2.57-2.74
Zr  0.3708  0.8504  0.0000  14 B 2.57-2.74

## Properties
As for the density: 6.6 Mg/m³. The symmetry is No. 55. The electronic total energy is -8.226 eV per atom.

***

Entry 10:
Below is crystalline PmPt at its relaxed geometry, with properties calculated at the GGA-PBE level.

a b c (Å): 4.5698 4.5698 4.5698
angles (deg): 60.00 60.00 60.00
Last column: nearest neighbours and their distance in Å.
Fractional positions:
Pm  0.0000  0.0000  0.0000  4 Pt 2.80
Pt  0.2500  0.2500  0.2500  4 Pm 2.80

## Properties
As for the density: 8.4 Mg/m³. The symmetry is No. 216. The value obtained for the formation energy from the elements is -0.456 eV/atom.

***

Entry 11:
Below is crystalline LaSn2IrAu at its relaxed geometry, with properties calculated at the GGA-PBE level.

a b c (Å): 4.6622 4.6622 10.8438
angles (deg): 90.00 90.00 90.00
Last column: nearest neighbours and their distance in Å.
Fractional positions:
Au  0.0000  0.0000  0.0000  4 Sn 2.80
Au  0.5000  0.5000  0.0000  4 Sn 2.80
Ir  0.5000  0.0000  0.3792  5 Sn 2.57-2.67
Ir  0.0000  0.5000  0.6208  5 Sn 2.57-2.67
La  0.0000  0.5000  0.2539  8 Sn 3.51-3.54, 4 Ir 3.57, 4 Au 3.61
La  0.5000  0.0000  0.7461  8 Sn 3.51-3.54, 4 Ir 3.57, 4 Au 3.61
Sn  0.5000  0.0000  0.1423  1 Ir 2.57, 4 Au 2.80
Sn  0.0000  0.0000  0.5000  4 Ir 2.67
Sn  0.5000  0.5000  0.5000  4 Ir 2.67
Sn  0.0000  0.5000  0.8577  1 Ir 2.57, 4 Au 2.80

## Properties
As for the density: 10.8 Mg/m³. The symmetry is No. 129. The electronic total energy is -5.666 eV per atom.

***

Entry 12:
Below is crystalline TbBePd3 at its relaxed geometry, with properties calculated at the GGA-PBE level.

a b c (Å): 4.3496 4.3496 4.3496
angles (deg): 90.00 90.00 90.00
Last column: nearest neighbours and their distance in Å.
Fractional positions:
Be  0.0000  0.0000  0.0000  6 Pd 2.17
Pd  0.5000  0.0000  0.0000  2 Be 2.17
Pd  0.0000  0.5000  0.0000  2 Be 2.17
Pd  0.0000  0.0000  0.5000  2 Be 2.17
Tb  0.5000  0.5000  0.5000  12 Pd 3.08

## Properties
As for the density: 9.8 Mg/m³. The symmetry is No. 221. The electronic total energy is -5.474 eV per atom.